Entry 1:
{"formula": "BaMgAs2", "functional": "GGA-PBE", "state": "relaxed", "lattice_angstrom": [[3.879, -4.102, 0.000], [3.879, 4.102, 0.000], [-0.007, 0.000, 3.357]], "species": ["Ba", "Mg", "As", "As"], "fractional_positions": [[0.000, 0.000, 0.000], [0.500, 0.500, 0.000], [0.000, 0.500, 0.500], [0.500, 0.000, 0.500]], "formation_energy_ev_per_atom": -0.36, "spacegroup": "C2/m"}



Entry 2:
{"formula": "Ce3YSc2As6", "functional": "GGA-PBE", "state": "relaxed", "lattice_angstrom": [[3.552, -6.153, 0.000], [3.552, 6.153, 0.000], [-2.373, 0.000, 6.648]], "species": ["Ce", "Ce", "Ce", "Y", "Sc", "Sc", "As", "As", "As", "As", "As", "As"], "fractional_positions": [[0.000, 0.000, 0.000], [0.336, 0.664, 0.000], [0.664, 0.336, 0.000], [0.500, 0.500, 0.500], [0.167, 0.833, 0.500], [0.833, 0.167, 0.500], [0.080, 0.421, 0.263], [0.236, 0.236, 0.734], [0.421, 0.080, 0.263], [0.579, 0.920, 0.737], [0.764, 0.764, 0.266], [0.920, 0.579, 0.737]], "formation_energy_ev_per_atom": -1.41, "spacegroup": "C2/m"}



Entry 3:
{"formula": "LaNd12Dy6", "functional": "GGA-PBE", "state": "relaxed", "lattice_angstrom": [[6.784, 3.917, 4.220], [-6.784, 3.917, 4.220], [0.000, -7.833, 4.220]], "species": ["La", "Nd", "Nd", "Nd", "Nd", "Nd", "Nd", "Nd", "Nd", "Nd", "Nd", "Nd", "Nd", "Dy", "Dy", "Dy", "Dy", "Dy", "Dy"], "fractional_positions": [[0.000, 0.000, 0.000], [0.081, 0.353, 0.353], [0.241, 0.500, 0.759], [0.241, 0.759, 0.500], [0.353, 0.081, 0.353], [0.353, 0.353, 0.081], [0.500, 0.241, 0.759], [0.500, 0.759, 0.241], [0.647, 0.647, 0.919], [0.647, 0.919, 0.647], [0.759, 0.241, 0.500], [0.759, 0.500, 0.241], [0.919, 0.647, 0.647], [0.099, 0.099, 0.661], [0.099, 0.661, 0.099], [0.339, 0.901, 0.901], [0.661, 0.099, 0.099], [0.901, 0.339, 0.901], [0.901, 0.901, 0.339]], "formation_energy_ev_per_atom": 0.19, "spacegroup": "R-3m"}



Entry 4:
{"formula": "Hf2Zn2Si", "functional": "GGA-PBE", "state": "relaxed", "lattice_angstrom": [[6.433, 0.000, 0.000], [0.000, 6.433, 0.000], [0.000, 0.000, 4.149]], "species": ["Hf", "Hf", "Hf", "Hf", "Zn", "Zn", "Zn", "Zn", "Si", "Si"], "fractional_positions": [[0.171, 0.329, 0.000], [0.329, 0.829, 0.000], [0.671, 0.171, 0.000], [0.829, 0.671, 0.000], [0.132, 0.632, 0.500], [0.368, 0.132, 0.500], [0.632, 0.868, 0.500], [0.868, 0.368, 0.500], [0.000, 0.000, 0.500], [0.500, 0.500, 0.500]], "formation_energy_uncorrected_mev_per_atom": -224, "spacegroup": "P4/mbm"}



Number 1: magnetic moment 0.0 μB per cell, final energy -3.566 eV per atom, Fermi-level density of states 0.693 states/eV/atom. Number 2: magnetic moment 1.8 μB per cell, final energy -6.815 eV per atom, Fermi-level density of states 1.371 states/eV/atom. Number 3: magnetic moment 0.0 μB per cell, final energy -4.536 eV per atom, Fermi-level density of states 2.030 states/eV/atom. Number 4: magnetic moment 0.0 μB per cell, final energy -5.799 eV per atom, Fermi-level density of states 0.665 states/eV/atom.